(1)
Crystalline CeTh2Be2Ir7 at its relaxed geometry. Source: Alexandria, functional PBE-GGA.

Total magnetization   0.00 μB per formula unit
SG   C2/m, No. 12
Energy of formation   -638 meV/atom
Density   15.584 Mg/m³
E_tot   -8.159 eV/atom

Cell: 4.067 4.067 12.794 Å, 95.43 95.43 89.36°
Positions (direct):
Ce1 0.000 0.000 0.000
Th1 0.101 0.101 0.348
Th2 0.899 0.899 0.652
Be1 0.425 0.425 0.750
Be2 0.575 0.575 0.250
Ir1 0.049 0.547 0.162
Ir2 0.358 0.358 0.572
Ir3 0.453 0.951 0.838
Ir4 0.500 0.500 0.000
Ir5 0.547 0.049 0.162
Ir6 0.642 0.642 0.428
Ir7 0.951 0.453 0.838



(2)
Crystalline ZrZnHI2 at its relaxed geometry. Source: Alexandria, functional PBE-GGA.

Total magnetization   2.76 μB per formula unit
SG   P4/mmm, No. 123
Density   3.954 Mg/m³
E_tot   -2.290 eV/atom

Cell: 5.769 5.769 5.191 Å, 90.00 90.00 90.00°
Positions (direct):
Zr1 0.000 0.000 0.000
Zn1 0.000 0.000 0.500
H1 0.500 0.500 0.000
I1 0.000 0.500 0.500
I2 0.500 0.000 0.500



(3)
Crystalline YSc2SbPd at its relaxed geometry. Source: Alexandria, functional PBE-GGA.

Formation energy (no corrections)   -0.18 eV per atom
Total magnetization   1.23 μB per formula unit
SG   P4/mmm, No. 123
Density   5.095 Mg/m³
E_tot   -5.866 eV/atom

Cell: 5.062 5.062 5.178 Å, 90.00 90.00 90.00°
Positions (direct):
Y1 0.000 0.000 0.000
Sc1 0.000 0.500 0.500
Sc2 0.500 0.000 0.500
Sb1 0.500 0.500 0.000
Pd1 0.500 0.500 0.500



(4)
Crystalline LiFe3Rh4 at its relaxed geometry. Source: Alexandria, functional PBE-GGA.

Total magnetization   13.24 μB per formula unit
SG   Pmmm, No. 47
Energy of formation   -96 meV/atom
Density   9.049 Mg/m³
E_tot   -7.184 eV/atom

Cell: 2.995 4.253 8.443 Å, 90.00 90.00 90.00°
Positions (direct):
Li1 0.000 0.000 0.000
Fe1 0.000 0.000 0.500
Fe2 0.000 0.500 0.243
Fe3 0.000 0.500 0.757
Rh1 0.500 0.000 0.255
Rh2 0.500 0.000 0.745
Rh3 0.500 0.500 0.000
Rh4 0.500 0.500 0.500



(5)
Crystalline Ag3SnGe at its relaxed geometry. Source: Alexandria, functional PBE-GGA.

Total magnetization   0.00 μB per formula unit
SG   Pm-3m, No. 221
Energy of formation   737 meV/atom
Energy above the lowest structure with this stoichiometry   350 meV per atom
Density   6.188 Mg/m³
E_tot   -2.698 eV/atom

Cell: 5.170 5.170 5.170 Å, 90.00 90.00 90.00°
Positions (direct):
Ag1 0.000 0.000 0.500
Ag2 0.000 0.500 0.000
Ag3 0.500 0.000 0.000
Sn1 0.000 0.000 0.000
Ge1 0.500 0.500 0.500



(6)
Crystalline Nd2MgSiPt6 at its relaxed geometry. Source: Alexandria, functional PBE-GGA.

Formation energy (no corrections)   -0.91 eV per atom
Total magnetization   0.00 μB per formula unit
SG   Pmmn, No. 59
Density   12.307 Mg/m³
E_tot   -6.186 eV/atom

Cell: 5.592 8.725 8.359 Å, 90.00 90.00 90.00°
Positions (direct):
Nd1 0.250 0.005 0.229
Nd2 0.250 0.495 0.229
Nd3 0.750 0.505 0.771
Nd4 0.750 0.995 0.771
Mg1 0.250 0.750 0.783
Mg2 0.750 0.250 0.217
Si1 0.250 0.250 0.731
Si2 0.750 0.750 0.269
Pt1 0.001 0.750 0.042
Pt2 0.003 0.750 0.509
Pt3 0.250 0.001 0.604
Pt4 0.250 0.499 0.604
Pt5 0.497 0.750 0.509
Pt6 0.499 0.750 0.042
Pt7 0.501 0.250 0.958
Pt8 0.503 0.250 0.491
Pt9 0.750 0.501 0.396
Pt10 0.750 0.999 0.396
Pt11 0.997 0.250 0.491
Pt12 0.999 0.250 0.958



(7)
Crystalline TiCuNi3 at its relaxed geometry. Source: Alexandria, functional PBE-GGA.

Total magnetization   0.00 μB per formula unit
SG   Pm-3m, No. 221
Energy of formation   823 meV/atom
Energy above the lowest structure with this stoichiometry   855 meV per atom
Density   6.288 Mg/m³
E_tot   -5.044 eV/atom

Cell: 4.234 4.234 4.234 Å, 90.00 90.00 90.00°
Positions (direct):
Ti1 0.000 0.000 0.000
Cu1 0.500 0.500 0.500
Ni1 0.000 0.500 0.500
Ni2 0.500 0.000 0.500
Ni3 0.500 0.500 0.000



(8)
Crystalline Ta2GaHRh at its relaxed geometry. Source: Alexandria, functional PBE-GGA.

Total magnetization   0.00 μB per formula unit
SG   P4/mmm, No. 123
Energy above the lowest structure with this stoichiometry   998 meV per atom
Density   11.600 Mg/m³
E_tot   -6.729 eV/atom

Cell: 5.009 5.009 3.056 Å, 90.00 90.00 90.00°
Positions (direct):
Ta1 0.000 0.500 0.000
Ta2 0.500 0.000 0.000
Ga1 0.000 0.000 0.000
H1 0.000 0.000 0.500
Rh1 0.500 0.500 0.500



(9)
Crystalline SrDyMnS4 at its relaxed geometry. Source: Alexandria, functional PBE-GGA.

Formation energy (no corrections)   -1.49 eV per atom
Total magnetization   4.00 μB per formula unit
SG   P2_1/m, No. 11
Density   4.520 Mg/m³
E_tot   -6.053 eV/atom

Cell: 6.593 6.173 8.198 Å, 90.00 107.39 90.00°
Positions (direct):
Sr1 0.240 0.250 0.439
Sr2 0.760 0.750 0.561
Dy1 0.259 0.250 0.941
Dy2 0.741 0.750 0.059
Mn1 0.264 0.750 0.180
Mn2 0.736 0.250 0.820
S1 0.063 0.750 0.905
S2 0.068 0.750 0.365
S3 0.489 0.508 0.771
S4 0.489 0.992 0.771
S5 0.511 0.008 0.229
S6 0.511 0.492 0.229
S7 0.932 0.250 0.635
S8 0.937 0.250 0.095



(10)
Crystalline AcTbHgAu at its relaxed geometry. Source: Alexandria, functional PBE-GGA.

Total magnetization   0.00 μB per formula unit
SG   F-43m, No. 216
Energy of formation   -582 meV/atom
Density   11.492 Mg/m³
E_tot   -3.662 eV/atom

Cell: 5.430 5.430 5.430 Å, 60.00 60.00 60.00°
Positions (direct):
Ac1 0.000 0.000 0.000
Tb1 0.500 0.500 0.500
Hg1 0.250 0.250 0.250
Au1 0.750 0.750 0.750



(11)
Crystalline YHg3H at its relaxed geometry. Source: Alexandria, functional PBE-GGA.

Total magnetization   0.00 μB per formula unit
SG   Pm-3m, No. 221
Density   11.182 Mg/m³
E_tot   -2.047 eV/atom

Cell: 4.683 4.683 4.683 Å, 90.00 90.00 90.00°
Positions (direct):
Y1 0.000 0.000 0.000
Hg1 0.000 0.500 0.500
Hg2 0.500 0.000 0.500
Hg3 0.500 0.500 0.000
H1 0.500 0.500 0.500



(12)
Crystalline SmUTe2O at its relaxed geometry. Source: Alexandria, functional PBE-GGA.

Formation energy (no corrections)   -1.74 eV per atom
Total magnetization   2.71 μB per formula unit
SG   P4/nmm, No. 129
Density   7.901 Mg/m³
E_tot   -7.194 eV/atom

Cell: 4.185 4.185 15.829 Å, 90.00 90.00 90.00°
Positions (direct):
Sm1 0.250 0.250 0.133
Sm2 0.750 0.750 0.867
U1 0.250 0.250 0.568
U2 0.750 0.750 0.432
Te1 0.250 0.250 0.325
Te2 0.250 0.250 0.916
Te3 0.750 0.750 0.084
Te4 0.750 0.750 0.675
O1 0.250 0.750 0.500
O2 0.750 0.250 0.500



Question: What is the density in the first record?
Answer: 15.584 Mg/m³